No. 1
Here is crystalline Ba2HfSiO6 at its relaxed geometry from Alexandria via LeMat-Bulk. Energies are from PBE.

Cell and atoms, written as POSCAR:
```
Ba2HfSiO6
1.0
5.917 0.000 0.000
-2.958 5.124 0.000
0.000 0.000 5.179
Ba Hf Si O
2 1 1 6
direct
0.333 0.667 0.168
0.667 0.333 0.832
0.000 0.000 0.500
0.000 0.000 0.000
0.144 0.288 0.785
0.144 0.856 0.785
0.288 0.144 0.215
0.712 0.856 0.785
0.856 0.144 0.215
0.856 0.712 0.215
```

Properties
Formation energy from raw total energies: -2.88 eV/atom
Magnetization: 0.00 μB per formula unit

No. 2
Here is crystalline BaHfSi2O8 at its relaxed geometry from Alexandria via LeMat-Bulk. Energies are from PBE.

Cell and atoms, written as POSCAR:
```
BaHfSi2O8
1.0
5.471 0.000 0.000
-2.735 4.738 0.000
0.000 0.000 7.485
Ba Hf Si O
1 1 2 8
direct
0.000 0.000 0.000
0.000 0.000 0.500
0.333 0.667 0.738
0.667 0.333 0.262
0.170 0.340 0.671
0.170 0.830 0.671
0.333 0.667 0.959
0.340 0.170 0.329
0.660 0.830 0.671
0.667 0.333 0.041
0.830 0.170 0.329
0.830 0.660 0.329
```

Properties
Formation energy from raw total energies: -2.65 eV/atom
Magnetization: 1.99 μB per formula unit

No. 3
Here is crystalline BaHfSi2O at its relaxed geometry from Alexandria via LeMat-Bulk. Energies are from PBE.

Cell and atoms, written as POSCAR:
```
BaHfSi2O
1.0
5.438 0.000 0.000
0.000 5.438 0.000
0.000 0.000 5.613
Ba Hf Si O
1 1 2 1
direct
0.000 0.000 0.000
0.000 0.000 0.500
0.000 0.500 0.000
0.500 0.000 0.000
0.500 0.500 0.500
```

Properties
Formation energy from raw total energies: 2.44 eV/atom
Magnetization: 0.00 μB per formula unit

No. 4
Here is crystalline BaHfSi3O9 at its relaxed geometry from Alexandria via LeMat-Bulk. Energies are from PBE.

Cell and atoms, written as POSCAR:
```
BaHfSi3O9
1.0
6.836 0.000 0.000
-3.418 5.920 0.000
0.000 0.000 10.099
Ba Hf Si O
2 2 6 18
direct
0.000 0.000 0.000
0.000 0.000 0.500
0.333 0.667 0.000
0.333 0.667 0.500
0.446 0.053 0.250
0.446 0.393 0.750
0.607 0.053 0.750
0.607 0.554 0.250
0.947 0.393 0.250
0.947 0.554 0.750
0.087 0.410 0.116
0.087 0.410 0.384
0.087 0.677 0.616
0.087 0.677 0.884
0.323 0.410 0.616
0.323 0.410 0.884
0.323 0.913 0.116
0.323 0.913 0.384
0.419 0.138 0.750
0.419 0.281 0.250
0.590 0.677 0.116
0.590 0.677 0.384
0.590 0.913 0.616
0.590 0.913 0.884
0.719 0.138 0.250
0.719 0.581 0.750
0.862 0.281 0.750
0.862 0.581 0.250
```

Properties
Formation energy from raw total energies: -3.07 eV/atom
Magnetization: 0.00 μB per formula unit

Which formula does entry 2 have? BaHfSi2O8

Repeat the third record exactly.
Here is crystalline BaHfSi2O at its relaxed geometry from Alexandria via LeMat-Bulk. Energies are from PBE.

Cell and atoms, written as POSCAR:
```
BaHfSi2O
1.0
5.438 0.000 0.000
0.000 5.438 0.000
0.000 0.000 5.613
Ba Hf Si O
1 1 2 1
direct
0.000 0.000 0.000
0.000 0.000 0.500
0.000 0.500 0.000
0.500 0.000 0.000
0.500 0.500 0.500
```

Properties
Formation energy from raw total energies: 2.44 eV/atom
Magnetization: 0.00 μB per formula unit

Which formula does entry 3 have? BaHfSi2O

Copy entry 2 word for word.
Here is crystalline BaHfSi2O8 at its relaxed geometry from Alexandria via LeMat-Bulk. Energies are from PBE.

Cell and atoms, written as POSCAR:
```
BaHfSi2O8
1.0
5.471 0.000 0.000
-2.735 4.738 0.000
0.000 0.000 7.485
Ba Hf Si O
1 1 2 8
direct
0.000 0.000 0.000
0.000 0.000 0.500
0.333 0.667 0.738
0.667 0.333 0.262
0.170 0.340 0.671
0.170 0.830 0.671
0.333 0.667 0.959
0.340 0.170 0.329
0.660 0.830 0.671
0.667 0.333 0.041
0.830 0.170 0.329
0.830 0.660 0.329
```

Properties
Formation energy from raw total energies: -2.65 eV/atom
Magnetization: 1.99 μB per formula unit